Entry 1:
# Be4OsSe | the Alexandria database | GGA-PBE | optimized geometry
data_Be4OsSe
_chemical_formula_sum 'Be16 Os4 Se4'
_cell_length_a 6.3200
_cell_length_b 6.3200
_cell_length_c 6.3200
_cell_angle_alpha 90.00
_cell_angle_beta 90.00
_cell_angle_gamma 90.00
_symmetry_space_group_name_H-M 'F -4 3 m'
_symmetry_Int_Tables_number 216
_symmetry_space_group_name_Hall 'F -4 2 3'
loop_
_atom_site_label
_atom_site_fract_x
_atom_site_fract_y
_atom_site_fract_z
_atom_site_occupancy
Be1 0.1224 0.1224 0.3776 1
Os1 0.2500 0.2500 0.7500 1
Se1 0.0000 0.0000 0.0000 1
# - E_form (uncorrected): 0.091 eV per atom
# - Crystal system: cubic

***

Entry 2:
# La12HoMg3 | the Alexandria database | GGA-PBE | optimized geometry
data_La12HoMg3
_chemical_formula_sum 'La12 Ho1 Mg3'
_cell_length_a 5.1384
_cell_length_b 5.1384
_cell_length_c 20.6294
_cell_angle_alpha 90.00
_cell_angle_beta 90.00
_cell_angle_gamma 90.00
_symmetry_space_group_name_H-M 'P 4/m m m'
_symmetry_Int_Tables_number 123
_symmetry_space_group_name_Hall '-P 4 2'
loop_
_atom_site_label
_atom_site_fract_x
_atom_site_fract_y
_atom_site_fract_z
_atom_site_occupancy
La1 0.0000 0.0000 0.0000 1
La2 0.0000 0.0000 0.2488 1
La3 0.0000 0.0000 0.5000 1
La4 0.0000 0.5000 0.1241 1
La5 0.0000 0.5000 0.3731 1
Ho1 0.5000 0.5000 0.5000 1
Mg1 0.5000 0.5000 0.0000 1
Mg2 0.5000 0.5000 0.2473 1
# - Crystal system: tetragonal

***

| no. | mass density (g/cm³) | VASP energy (eV per atom) |
| --- | --- | --- |
| 1 | 8.0 | -4.85 |
| 2 | 5.8 | -4.30 |